No. 1
This record from OQMD describes a relaxed structure of KGdZnS3. The functional is PBE.

Calculated values
- Calculated total energy: -4.691 eV/atom
- Theoretical density: 4.3 g/cm³

POSCAR file:
```
KGdZnS3
1.0
11.184 0.000 0.000
0.000 4.110 0.000
0.000 0.000 12.018
K Gd Zn S
4 4 4 12
Cartesian
1.851 1.028 0.025
3.741 3.083 6.035
7.443 1.028 5.984
9.333 3.083 11.993
0.258 1.028 8.064
5.334 3.083 2.055
5.850 1.028 9.963
10.926 3.083 3.954
2.744 1.028 3.518
2.848 3.083 9.527
8.335 1.028 2.492
8.440 3.083 8.501
0.566 3.083 9.924
1.178 1.028 5.274
2.423 3.083 2.354
3.169 1.028 8.363
4.414 3.083 11.283
5.026 1.028 3.915
6.158 3.083 8.103
6.770 1.028 0.736
8.014 3.083 3.655
8.761 1.028 9.664
10.006 3.083 6.745
10.617 1.028 2.094
```



No. 2
This record from OQMD describes a relaxed structure of KGdSb. The functional is PBE.

Calculated values
- Calculated total energy: -2.928 eV/atom
- Theoretical density: 5.1 g/cm³

POSCAR file:
```
KGdSb
1.0
0.000 3.734 3.734
3.734 0.000 3.734
3.734 3.734 0.000
K Gd Sb
1 1 1
Cartesian
0.000 0.000 0.000
5.601 5.601 5.601
1.867 1.867 1.867
```



No. 3
This record from OQMD describes a relaxed structure of K2Gd2Sb2Se9. The functional is PBE.

Calculated values
- Calculated total energy: -4.453 eV/atom
- Theoretical density: 5.1 g/cm³

POSCAR file:
```
K2Gd2Sb2Se9
1.0
11.523 -4.214 0.000
11.523 4.214 0.000
-11.507 0.000 17.908
K Gd Sb Se
8 8 8 36
Cartesian
-3.245 2.121 16.897
2.512 2.105 9.955
9.027 2.105 7.953
14.784 2.121 1.011
-3.245 -2.121 16.897
2.512 -2.105 9.955
9.027 -2.105 7.953
14.784 -2.121 1.011
-1.346 2.102 12.600
7.127 2.104 3.650
4.412 2.104 14.258
12.885 2.102 5.308
-1.346 -2.102 12.600
7.127 -2.104 3.650
4.412 -2.104 14.258
12.885 -2.102 5.308
-0.526 0.000 1.935
-5.243 0.000 10.893
5.072 0.000 6.549
0.693 0.000 15.499
10.846 0.000 2.409
6.467 0.000 11.359
16.782 0.000 7.015
12.065 0.000 15.974
-7.595 0.000 12.157
4.429 2.063 5.027
-7.906 0.000 16.189
1.815 0.000 3.191
-0.229 0.000 6.597
-5.538 0.000 15.579
-2.179 0.000 10.630
1.347 2.059 13.978
11.523 2.285 0.000
5.770 2.286 8.954
2.091 0.000 7.320
5.588 0.000 2.334
10.192 2.059 3.930
0.182 0.000 11.251
-1.828 0.000 14.656
7.901 0.000 1.586
7.110 2.063 12.881
7.583 0.000 5.723
3.956 0.000 12.185
4.429 -2.063 5.027
3.638 0.000 16.323
13.367 0.000 3.252
11.357 0.000 6.657
1.347 -2.059 13.978
5.951 0.000 15.574
9.449 0.000 10.588
11.523 -2.285 0.000
5.770 -2.286 8.954
10.192 -2.059 3.930
13.718 0.000 7.278
17.077 0.000 2.329
11.768 0.000 11.312
9.724 0.000 14.717
19.445 0.000 1.719
7.110 -2.063 12.881
19.134 0.000 5.751
```



No. 4
This record from OQMD describes a relaxed structure of KGdSbTe3. The functional is PBE.

Calculated values
- Calculated total energy: -3.939 eV/atom
- Theoretical density: 5.4 g/cm³

POSCAR file:
```
KGdSbTe3
1.0
2.251 -8.488 0.000
2.251 8.488 0.000
0.000 0.000 11.350
K Gd Sb Te
2 2 2 6
Cartesian
2.251 4.557 8.513
2.251 -4.557 2.838
0.000 0.000 0.000
0.000 0.000 5.675
2.251 0.565 2.838
2.251 -0.565 8.513
2.251 6.756 2.838
2.251 2.206 0.392
2.251 2.206 5.284
2.251 -2.206 6.067
2.251 -2.206 10.959
2.251 -6.756 8.513
```



No. 5
This record from OQMD describes a relaxed structure of KGdSc. The functional is PBE.

Calculated values
- Calculated total energy: -2.845 eV/atom
- Theoretical density: 3.0 g/cm³
- Offset from the most stable computed form: 0.0 kJ per mole of atoms

POSCAR file:
```
KGdSc
1.0
0.000 4.061 4.061
4.061 0.000 4.061
4.061 4.061 0.000
K Gd Sc
1 1 1
Cartesian
0.000 0.000 0.000
4.061 4.061 4.061
6.091 6.091 6.091
```



No. 6
This record from OQMD describes a relaxed structure of KGdSe4. The functional is PBE.

Calculated values
- Calculated total energy: -4.453 eV/atom
- Theoretical density: 5.1 g/cm³

POSCAR file:
```
KGdSe4
1.0
6.299 0.000 0.000
0.000 6.299 0.000
0.000 0.000 8.422
K Gd Se
2 2 8
Cartesian
1.575 1.575 0.000
4.724 4.724 0.000
1.575 1.575 4.211
4.724 4.724 4.211
0.714 3.863 2.462
0.714 5.585 5.959
2.436 3.863 5.959
2.436 5.585 2.462
3.863 0.714 5.959
3.863 2.436 2.462
5.585 0.714 2.462
5.585 2.436 5.959
```



No. 7
This record from OQMD describes a relaxed structure of KGdTeSe. The functional is PBE.

Calculated values
- Calculated total energy: -4.671 eV/atom
- Theoretical density: 5.0 g/cm³

POSCAR file:
```
KGdTeSe
1.0
2.191 1.265 8.000
-2.191 1.265 8.000
0.000 -2.530 8.000
K Gd Te Se
1 1 1 1
Cartesian
0.000 0.000 0.000
0.000 0.000 12.243
0.000 0.000 18.422
0.000 0.000 5.750
```



No. 8
This record from OQMD describes a relaxed structure of KGdSi. The functional is PBE.

Calculated values
- Calculated total energy: -3.596 eV/atom
- Theoretical density: 3.8 g/cm³

POSCAR file:
```
KGdSi
1.0
0.000 3.655 3.655
3.655 0.000 3.655
3.655 3.655 0.000
K Gd Si
1 1 1
Cartesian
0.000 0.000 0.000
3.655 3.655 3.655
5.483 5.483 5.483
```